Entry 1:
Material: RbSc3Ru
Method: DFT, GGA-PBE
State: relaxed

Properties
The value obtained for the calculated formation energy is 1.825 eV/atom. For the energy relative to the lowest polymorph listed for this composition, the calculation gives 1.7039 eV per atom. The electronic total energy is -0.2956 Ry per atom. For the volume, the calculation gives 115 Å³/f.u. The calculation puts the density of states at the Fermi level at 5.5 states/eV per cell.

a = 4.8641 Å, b = 4.8641 Å, c = 4.8641 Å
α = 90.00°, β = 90.00°, γ = 90.00°
Closest atoms and distances in Å follow each position.
Fractional positions:
Rb  0.0000  0.0000  0.0000  6 Sc 2.43
Sc  0.0000  0.0000  0.5000  2 Rb 2.43
Sc  0.0000  0.5000  0.0000  2 Rb 2.43
Sc  0.5000  0.0000  0.0000  2 Rb 2.43
Ru  0.5000  0.5000  0.5000  12 Sc 3.44

---

Entry 2:
Material: YPuClO4
Method: DFT, GGA-PBE
State: relaxed

Properties
The electronic total energy is -0.6303 Ry per atom. For the volume, the calculation gives 129 Å³/f.u. As for the raw formation energy: -2.507 eV/atom. The calculation puts the density of states at the Fermi level at 11.1 states/eV per cell.

a = 6.9121 Å, b = 6.9121 Å, c = 6.6316 Å
α = 107.40°, β = 107.40°, γ = 60.26°
Closest atoms and distances in Å follow each position.
Fractional positions:
Y  0.2116  0.2116  0.0756  5 O 2.25-2.47
Y  0.7884  0.7884  0.9244  5 O 2.25-2.47
Pu  0.3724  0.3724  0.7676  4 O 1.85-2.04
Pu  0.6276  0.6276  0.2324  4 O 1.85-2.04
Cl  0.0308  0.0308  0.2533  2 Y 2.80-2.96
Cl  0.9692  0.9692  0.7467  2 Y 2.80-2.96
O  0.0585  0.4483  0.8058  1 Pu 2.04, 1 Y 2.25
O  0.3331  0.3331  0.4722  1 Pu 1.85
O  0.4199  0.4199  0.0851  1 Pu 1.98
O  0.4483  0.0585  0.8058  1 Pu 2.04, 1 Y 2.25
O  0.5517  0.9415  0.1942  1 Pu 2.04, 1 Y 2.25
O  0.5801  0.5801  0.9149  1 Pu 1.98
O  0.6669  0.6669  0.5278  1 Pu 1.85
O  0.9415  0.5517  0.1942  1 Pu 2.04, 1 Y 2.25

---

Entry 3:
Material: Lu3PuCo
Method: DFT, GGA-PBE
State: relaxed

Properties
The value obtained for the calculated formation energy is 0.035 eV/atom. The electronic total energy is -0.5119 Ry per atom. For the volume, the calculation gives 136 Å³/f.u. The calculation puts the density of states at the Fermi level at 11.7 states/eV per cell.

a = 5.1443 Å, b = 5.1443 Å, c = 5.1443 Å
α = 90.00°, β = 90.00°, γ = 90.00°
Closest atoms and distances in Å follow each position.
Fractional positions:
Lu  0.0000  0.0000  0.5000  2 Co 2.57
Lu  0.0000  0.5000  0.0000  2 Co 2.57
Lu  0.5000  0.0000  0.0000  2 Co 2.57
Pu  0.5000  0.5000  0.5000  12 Lu 3.64
Co  0.0000  0.0000  0.0000  6 Lu 2.57

---

Entry 4:
Material: Ac3Nd3MgS8
Method: DFT, GGA-PBE
State: relaxed

Properties
The electronic total energy is -0.4435 Ry per atom. For the volume, the calculation gives 404 Å³/f.u. As for the raw formation energy: -1.951 eV/atom. The calculation puts the density of states at the Fermi level at 3.1 states/eV per cell.

a = 8.3606 Å, b = 8.3606 Å, c = 8.3606 Å
α = 59.00°, β = 59.00°, γ = 59.00°
Closest atoms and distances in Å follow each position.
Fractional positions:
Ac  0.0000  0.5000  0.5000  6 S 3.00
Ac  0.5000  0.0000  0.5000  6 S 3.00
Ac  0.5000  0.5000  0.0000  6 S 3.00
Nd  0.0000  0.0000  0.5000  6 S 2.87-2.89
Nd  0.0000  0.5000  0.0000  6 S 2.87-2.89
Nd  0.5000  0.0000  0.0000  6 S 2.87-2.89
Mg  0.5000  0.5000  0.5000  6 S 2.72
S  0.2450  0.2450  0.2450  3 Nd 2.87, 3 Ac 3.00
S  0.2590  0.7321  0.7321  1 Mg 2.72, 2 Nd 2.89, 2 Ac 3.00
S  0.2679  0.2679  0.7410  1 Mg 2.72, 2 Nd 2.89, 2 Ac 3.00
S  0.2679  0.7410  0.2679  1 Mg 2.72, 2 Nd 2.89, 2 Ac 3.00
S  0.7321  0.2590  0.7321  1 Mg 2.72, 2 Nd 2.89, 2 Ac 3.00
S  0.7321  0.7321  0.2590  1 Mg 2.72, 2 Nd 2.89, 2 Ac 3.00
S  0.7410  0.2679  0.2679  1 Mg 2.72, 2 Nd 2.89, 2 Ac 3.00
S  0.7550  0.7550  0.7550  3 Nd 2.87, 3 Ac 3.00

---

Entry 5:
Material: ErWC
Method: DFT, GGA-PBE
State: relaxed

Properties
The value obtained for the calculated formation energy is 0.357 eV/atom. For the energy relative to the lowest polymorph listed for this composition, the calculation gives 0.3758 eV per atom. The electronic total energy is -0.6289 Ry per atom. For the volume, the calculation gives 50 Å³/f.u. The calculation puts the density of states at the Fermi level at 2.1 states/eV per cell.

a = 3.6254 Å, b = 3.6254 Å, c = 4.3963 Å
α = 90.00°, β = 90.00°, γ = 120.00°
Closest atoms and distances in Å follow each position.
Fractional positions:
Er  0.0000  0.0000  0.0000  6 W 3.04, 6 C 3.04
W  0.6667  0.3333  0.5000  3 C 2.09
C  0.3333  0.6667  0.5000  3 W 2.09

---

Entry 6:
Material: LaTbB
Method: DFT, GGA-PBE
State: relaxed

Properties
The value obtained for the calculated formation energy is 0.028 eV/atom. The electronic total energy is -0.3957 Ry per atom. For the volume, the calculation gives 68 Å³/f.u. The calculation puts the density of states at the Fermi level at 3.4 states/eV per cell.

a = 5.6428 Å, b = 5.6428 Å, c = 6.5223 Å
α = 116.72°, β = 116.72°, γ = 49.35°
Closest atoms and distances in Å follow each position.
Fractional positions:
La  0.1619  0.1619  0.0016  1 B 2.71, 2 La 2.98
La  0.8381  0.8381  0.9984  1 B 2.71, 2 La 2.98
Tb  0.3922  0.3922  0.6376  3 B 2.67-2.81
Tb  0.6078  0.6078  0.3624  3 B 2.67-2.81
B  0.0934  0.0934  0.5434  1 B 1.71
B  0.9066  0.9066  0.4566  1 B 1.71

---

Entry 7:
Material: Li2CoCu
Method: DFT, GGA-PBE
State: relaxed

Properties
The value obtained for the calculated formation energy is 0.085 eV/atom. For the energy relative to the lowest polymorph listed for this composition, the calculation gives 0.0000 eV per atom. The electronic total energy is -0.2699 Ry per atom. For the volume, the calculation gives 49 Å³/f.u. The calculation puts the density of states at the Fermi level at 2.1 states/eV per cell.

a = 2.4653 Å, b = 2.4653 Å, c = 8.6442 Å
α = 90.00°, β = 90.00°, γ = 111.99°
Closest atoms and distances in Å follow each position.
Fractional positions:
Li  0.0000  0.0000  0.2446  6 Li 2.47-2.76, 2 Co 2.52, 2 Cu 2.60
Li  0.0000  0.0000  0.7554  6 Li 2.47-2.76, 2 Co 2.52, 2 Cu 2.60
Co  0.5000  0.5000  0.0000  6 Co 2.47-2.76, 4 Li 2.52
Cu  0.5000  0.5000  0.5000  6 Cu 2.47-2.76, 4 Li 2.60

---

Entry 8:
Material: SbP2Os
Method: DFT, GGA-PBE
State: relaxed

Properties
The electronic total energy is -0.4681 Ry per atom. For the volume, the calculation gives 75 Å³/f.u. As for the raw formation energy: 0.174 eV/atom. The calculation puts the density of states at the Fermi level at 2.0 states/eV per cell.

a = 8.6822 Å, b = 8.6822 Å, c = 8.6822 Å
α = 160.39°, β = 160.11°, γ = 28.08°
Closest atoms and distances in Å follow each position.
Fractional positions:
Sb  0.0000  0.0000  0.0000  4 Sb 2.96-3.00, 6 P 3.20-3.25
P  0.3533  0.3533  0.0000  2 Os 2.38
P  0.6680  0.1680  0.5000  4 Os 2.45
Os  0.2425  0.7425  0.5000  6 P 2.38-2.45